[1]
The following is a DFT calculation (PBE) of Sm5ScZn6 after structural relaxation.

Lattice parameters (Å, degrees): 8.0584 8.0584 7.2082 90.00 90.00 143.44
Closest atoms and distances in Å follow each position.
Fractional positions:
1 Sm 0.0000 0.0000 0.0000  8 Zn 3.07-3.17
2 Sm 0.3298 0.6702 0.0000  8 Zn 3.16-3.23, 2 Sm 3.51
3 Sm 0.3350 0.6650 0.5000  8 Zn 3.04-3.20
4 Sm 0.6650 0.3350 0.5000  8 Zn 3.04-3.20
5 Sm 0.6702 0.3298 0.0000  8 Zn 3.16-3.23, 2 Sm 3.51
6 Sc 0.0000 0.0000 0.5000  8 Zn 2.98-3.04
7 Zn 0.1587 0.8413 0.2611  1 Sc 2.98, 7 Sm 3.06-3.22
8 Zn 0.1587 0.8413 0.7389  1 Sc 2.98, 7 Sm 3.06-3.22
9 Zn 0.5000 0.5000 0.2650  6 Sm 3.04-3.23, 2 Sc 3.04, 1 Zn 3.39
10 Zn 0.5000 0.5000 0.7350  6 Sm 3.04-3.23, 2 Sc 3.04, 1 Zn 3.39
11 Zn 0.8413 0.1587 0.2611  1 Sc 2.98, 7 Sm 3.06-3.22
12 Zn 0.8413 0.1587 0.7389  1 Sc 2.98, 7 Sm 3.06-3.22

* SG: No. 65
* ΔH_f (0 K): -0.31 eV per atom
* magnetic moment: 0.001 μB/cell
* DFT total energy: -3.4442 eV per atom

---

[2]
The following is a DFT calculation (PBE) of SmSc3Zn8 after structural relaxation.

Lattice parameters (Å, degrees): 9.2311 9.2311 9.2311 33.53 33.53 33.53
Closest atoms and distances in Å follow each position.
Fractional positions:
1 Sm 0.0000 0.0000 0.0000  12 Zn 3.13-3.20, 4 Sc 3.29-3.30
2 Sc 0.3790 0.3790 0.3790  12 Zn 3.11-3.26, 1 Sc 3.20, 3 Sm 3.30
3 Sc 0.5015 0.5015 0.5015  12 Zn 3.05-3.12, 4 Sc 3.20-3.24
4 Sc 0.8742 0.8742 0.8742  12 Zn 3.03-3.12, 3 Sc 3.24, 1 Sm 3.29
5 Zn 0.1883 0.1883 0.1883  6 Zn 2.62-2.63
6 Zn 0.4374 0.4374 0.9328  6 Zn 2.62-2.71
7 Zn 0.4374 0.9328 0.4374  6 Zn 2.62-2.71
8 Zn 0.4434 0.9389 0.9389  6 Zn 2.63-2.69
9 Zn 0.6886 0.6886 0.6886  6 Zn 2.69-2.71
10 Zn 0.9328 0.4374 0.4374  6 Zn 2.62-2.71
11 Zn 0.9389 0.4434 0.9389  6 Zn 2.63-2.69
12 Zn 0.9389 0.9389 0.4434  6 Zn 2.63-2.69

* SG: No. 160
* ΔH_f (0 K): -0.32 eV per atom
* magnetic moment: 0.000 μB/cell
* DFT total energy: -3.1469 eV per atom

---

[3]
The following is a DFT calculation (PBE) of SmScZn3 after structural relaxation.

Lattice parameters (Å, degrees): 8.8046 8.8046 5.5503 100.18 100.18 28.89
Closest atoms and distances in Å follow each position.
Fractional positions:
1 Sm 0.0720 0.0720 0.3189  6 Zn 3.01-3.12
2 Sm 0.9280 0.9280 0.6811  6 Zn 3.01-3.12
3 Sc 0.2801 0.2801 0.3214  8 Zn 2.79-3.03
4 Sc 0.7199 0.7199 0.6786  8 Zn 2.79-3.03
5 Zn 0.1496 0.1496 0.8724  5 Zn 2.70-2.89, 2 Sc 2.81, 1 Sm 3.01
6 Zn 0.3168 0.3168 0.8356  4 Zn 2.61-2.89, 4 Sc 2.79-2.88
7 Zn 0.4436 0.4436 0.1809  3 Zn 2.61-2.70
8 Zn 0.5564 0.5564 0.8191  3 Zn 2.61-2.70
9 Zn 0.6832 0.6832 0.1644  4 Zn 2.61-2.89, 4 Sc 2.79-2.88
10 Zn 0.8504 0.8504 0.1276  5 Zn 2.70-2.89, 2 Sc 2.81, 1 Sm 3.01

* SG: No. 12
* ΔH_f (0 K): -0.30 eV per atom
* magnetic moment: 0.000 μB/cell
* DFT total energy: -3.2757 eV per atom

---

[4]
The following is a DFT calculation (PBE) of SmSc5Zn4 after structural relaxation.

Lattice parameters (Å, degrees): 3.3603 3.3603 18.4159 90.00 90.00 90.00
Closest atoms and distances in Å follow each position.
Fractional positions:
1 Sm 0.0000 0.0000 0.0000  4 Sm 3.36, 8 Sc 3.48
2 Sc 0.5000 0.5000 0.1379  4 Zn 2.89
3 Sc 0.5000 0.5000 0.3185  8 Zn 2.89-2.91
4 Sc 0.5000 0.5000 0.5000  8 Zn 2.92
5 Sc 0.5000 0.5000 0.6815  8 Zn 2.89-2.91
6 Sc 0.5000 0.5000 0.8621  4 Zn 2.89
7 Zn 0.0000 0.0000 0.2272  8 Sc 2.89-2.91
8 Zn 0.0000 0.0000 0.4083  8 Sc 2.89-2.92
9 Zn 0.0000 0.0000 0.5917  8 Sc 2.89-2.92
10 Zn 0.0000 0.0000 0.7728  8 Sc 2.89-2.91

* SG: No. 123
* ΔH_f (0 K): -0.28 eV per atom
* magnetic moment: 0.000 μB/cell
* DFT total energy: -4.4308 eV per atom

---

[5]
The following is a DFT calculation (PBE) of SmSc3Zn8 after structural relaxation.

Lattice parameters (Å, degrees): 5.3598 5.3598 8.5744 90.00 90.00 120.00
Closest atoms and distances in Å follow each position.
Fractional positions:
1 Sm 0.0000 0.0000 0.0000  12 Zn 3.13-3.15, 4 Sc 3.26-3.32
2 Sc 0.0000 0.0000 0.3807  12 Zn 2.97-3.14, 3 Sc 3.23, 1 Sm 3.26
3 Sc 0.6667 0.3333 0.4890  12 Zn 2.98-3.13, 4 Sc 3.18-3.23
4 Sc 0.6667 0.3333 0.8603  12 Zn 3.10-3.20, 1 Sc 3.18, 3 Sm 3.32
5 Zn 0.1635 0.3270 0.6786  6 Zn 2.62-2.73
6 Zn 0.1635 0.8365 0.6786  6 Zn 2.62-2.73
7 Zn 0.3333 0.6667 0.4347  6 Zn 2.62-2.64
8 Zn 0.3333 0.6667 0.9330  6 Zn 2.69-2.71
9 Zn 0.5044 0.0089 0.1894  6 Zn 2.61-2.75
10 Zn 0.5044 0.4956 0.1894  6 Zn 2.61-2.75
11 Zn 0.6730 0.8365 0.6786  6 Zn 2.62-2.73
12 Zn 0.9911 0.4956 0.1894  6 Zn 2.61-2.75

* SG: No. 156
* ΔH_f (0 K): -0.32 eV per atom
* magnetic moment: 0.000 μB/cell
* DFT total energy: -3.1432 eV per atom

---

[6]
The following is a DFT calculation (PBE) of Sm2ScZn after structural relaxation.

Lattice parameters (Å, degrees): 3.6004 3.6004 8.2445 90.00 90.00 90.00
Closest atoms and distances in Å follow each position.
Fractional positions:
1 Sm 0.0000 0.0000 0.2218  4 Zn 3.13, 4 Sc 3.43
2 Sm 0.0000 0.0000 0.7782  4 Zn 3.13, 4 Sc 3.43
3 Sc 0.5000 0.5000 0.5000  8 Sm 3.43, 4 Sc 3.60
4 Zn 0.5000 0.5000 0.0000  8 Sm 3.13

* SG: No. 123
* ΔH_f (0 K): -0.12 eV per atom
* magnetic moment: 0.000 μB/cell
* DFT total energy: -4.3812 eV per atom